[1]
VASP calculation (PBE-GGA) on a geometry-optimized Sc2CdCl structure.

Output
Crystal system: tetragonal
Final energy, eV per atom: -4.13
Calculated density, Mg/m³: 4.366
Energy relative to the elements, uncorrected, eV per formula unit: -1.1
E above lowest polymorph, eV/atom: 0.4071

POSCAR file:
```
Sc2CdCl
1.0
-2.020 2.020 5.540
2.020 -2.020 5.540
2.020 2.020 -5.540
Sc Cd Cl
2 1 1
Direct
0.000 0.000 0.000
0.750 0.250 0.500
0.250 0.750 0.500
0.500 0.500 0.000
```

[2]
VASP calculation (PBE-GGA) on a geometry-optimized Sc2CdCl structure.

Output
Crystal system: tetragonal
Final energy, eV per atom: -4.03
Calculated density, Mg/m³: 3.513
Energy relative to the elements, uncorrected, eV per formula unit: -0.7
E above lowest polymorph, eV/atom: 0.5002

POSCAR file:
```
Sc2CdCl
1.0
-2.951 2.951 6.455
2.951 -2.951 6.455
2.951 2.951 -6.455
Sc Cd Cl
4 2 2
Direct
0.076 0.625 0.951
0.375 0.326 0.451
0.674 0.125 0.049
0.875 0.924 0.549
0.250 0.750 0.500
0.500 0.500 0.000
0.000 0.000 0.000
0.750 0.250 0.500
```

[3]
VASP calculation (PBE-GGA) on a geometry-optimized Sc2CdCl structure.

Output
Crystal system: orthorhombic
Final energy, eV per atom: -4.52
Calculated density, Mg/m³: 4.321
Energy relative to the elements, uncorrected, eV per formula unit: -2.7
E above lowest polymorph, eV/atom: 0.0137

POSCAR file:
```
Sc2CdCl
1.0
3.338 0.000 0.000
0.000 3.575 0.000
0.000 0.000 7.656
Sc Cd Cl
2 1 1
Direct
0.000 0.000 0.233
0.000 0.000 0.767
0.500 0.500 0.000
0.500 0.000 0.500
```

[4]
VASP calculation (PBE-GGA) on a geometry-optimized Sc2CdCl structure.

Output
Crystal system: trigonal
Final energy, eV per atom: -4.49
Calculated density, Mg/m³: 4.621
Energy relative to the elements, uncorrected, eV per formula unit: -2.6
E above lowest polymorph, eV/atom: 0.0386

POSCAR file:
```
Sc2CdCl
1.0
1.697 0.980 8.564
-1.697 0.980 8.564
0.000 -1.959 8.564
Sc Cd Cl
2 1 1
Direct
0.243 0.243 0.243
0.757 0.757 0.757
0.000 0.000 0.000
0.500 0.500 0.500
```

What did the fourth record say?
VASP calculation (PBE-GGA) on a geometry-optimized Sc2CdCl structure.

Output
Crystal system: trigonal
Final energy, eV per atom: -4.49
Calculated density, Mg/m³: 4.621
Energy relative to the elements, uncorrected, eV per formula unit: -2.6
E above lowest polymorph, eV/atom: 0.0386

POSCAR file:
```
Sc2CdCl
1.0
1.697 0.980 8.564
-1.697 0.980 8.564
0.000 -1.959 8.564
Sc Cd Cl
2 1 1
Direct
0.243 0.243 0.243
0.757 0.757 0.757
0.000 0.000 0.000
0.500 0.500 0.500
```

What did the second record say?
VASP calculation (PBE-GGA) on a geometry-optimized Sc2CdCl structure.

Output
Crystal system: tetragonal
Final energy, eV per atom: -4.03
Calculated density, Mg/m³: 3.513
Energy relative to the elements, uncorrected, eV per formula unit: -0.7
E above lowest polymorph, eV/atom: 0.5002

POSCAR file:
```
Sc2CdCl
1.0
-2.951 2.951 6.455
2.951 -2.951 6.455
2.951 2.951 -6.455
Sc Cd Cl
4 2 2
Direct
0.076 0.625 0.951
0.375 0.326 0.451
0.674 0.125 0.049
0.875 0.924 0.549
0.250 0.750 0.500
0.500 0.500 0.000
0.000 0.000 0.000
0.750 0.250 0.500
```

Repeat the third record exactly.
VASP calculation (PBE-GGA) on a geometry-optimized Sc2CdCl structure.

Output
Crystal system: orthorhombic
Final energy, eV per atom: -4.52
Calculated density, Mg/m³: 4.321
Energy relative to the elements, uncorrected, eV per formula unit: -2.7
E above lowest polymorph, eV/atom: 0.0137

POSCAR file:
```
Sc2CdCl
1.0
3.338 0.000 0.000
0.000 3.575 0.000
0.000 0.000 7.656
Sc Cd Cl
2 1 1
Direct
0.000 0.000 0.233
0.000 0.000 0.767
0.500 0.500 0.000
0.500 0.000 0.500
```

Question: Number 4 is which compound?
Answer: Sc2CdCl